Computed, not measured: CoNi2N after structural relaxation at the PBE-GGA level of DFT.

Unit cell a=6.6198 b=6.6198 c=5.0542 alpha=49.09 beta=49.09 gamma=90.00
Last column: magnetic moment on the atom in μB.
Fractional positions:
Co: 0.7500 0.2500 0.5000  1.17
Co: 0.0000 0.0000 0.0000  1.17
Ni: 0.8750 0.7545 0.7500  0.13
Ni: 0.3750 0.4955 0.7500  0.16
Ni: 0.2455 0.6250 0.2500  0.14
Ni: 0.5045 0.1250 0.2500  0.14
N: 0.2500 0.7500 0.5000  0.01
N: 0.5000 0.5000 0.0000  0.01

## Properties
calculated density = 7.57 g cm⁻³
D(E_F) = 13.45 states/eV per cell
raw total energy = -6.406 eV per atom
symmetry = I-42d



Computed, not measured: Sm6Tl3Te after structural relaxation at the PBE-GGA level of DFT.

Unit cell a=7.4751 b=9.2672 c=9.2672 alpha=91.33 beta=90.00 gamma=90.00
Fractional positions:
Tl: 0.0020 0.0127 0.3124
Tl: 0.9442 0.4971 0.5029
Tl: 0.5020 0.9873 0.6876
Tl: 0.5020 0.3124 0.0127
Tl: 0.4442 0.5029 0.4971
Tl: 0.0020 0.6876 0.9873
Sm: 0.7836 0.9881 0.0119
Sm: 0.6765 0.3061 0.6939
Sm: 0.2029 0.2112 0.5334
Sm: 0.5821 0.1494 0.3206
Sm: 0.7029 0.5334 0.2112
Sm: 0.2029 0.4666 0.7888
Sm: 0.0821 0.8506 0.6794
Sm: 0.0821 0.3206 0.1494
Sm: 0.1765 0.6939 0.3061
Sm: 0.2836 0.0119 0.9881
Sm: 0.5821 0.6794 0.8506
Sm: 0.7029 0.7888 0.4666
Te: 0.5071 0.8248 0.1752
Te: 0.0071 0.1752 0.8248

## Properties
calculated density = 8.50 g cm⁻³
D(E_F) = 15.62 states/eV per cell
raw total energy = -4.223 eV per atom
symmetry = Cmc2_1



Computed, not measured: ZrIO2 after structural relaxation at the PBE-GGA level of DFT.

Unit cell a=6.4128 b=6.4128 c=6.4258 alpha=60.07 beta=60.07 gamma=90.00
Last column: magnetic moment on the atom in μB.
Fractional positions:
I: 0.7500 0.2500 0.5000  0.60
I: 0.0000 0.0000 0.0000  0.60
Zr: 0.2500 0.7500 0.5000  0.00
Zr: 0.5000 0.5000 0.0000  0.00
O: 0.3832 0.1250 0.2500  0.03
O: 0.8750 0.6332 0.7500  0.05
O: 0.3750 0.6168 0.7500  0.04
O: 0.3668 0.6250 0.2500  0.04

## Properties
calculated density = 4.44 g cm⁻³
D(E_F) = 12.70 states/eV per cell
raw total energy = -7.122 eV per atom
symmetry = I-42d



Computed, not measured: Cs2WAuBr6 after structural relaxation at the PBE-GGA level of DFT.

Unit cell a=8.2299 b=8.2299 c=7.8230 alpha=58.26 beta=58.26 gamma=90.00
Last column: magnetic moment on the atom in μB.
Fractional positions:
Br: 0.2444 0.2444 0.5112  0.02
Br: 0.2776 0.7224 0.0000  0.02
Br: 0.7556 0.7556 0.4888  0.02
Br: 0.7224 0.7224 0.0000  0.02
Br: 0.7224 0.2776 0.0000  0.02
Br: 0.2776 0.2776 0.0000  0.02
Au: 0.0000 0.0000 0.0000  0.06
Cs: 0.2500 0.7500 0.5000  0.00
Cs: 0.7500 0.2500 0.5000  0.00
W: 0.5000 0.5000 0.0000  2.14

## Properties
calculated density = 5.28 g cm⁻³
D(E_F) = 8.45 states/eV per cell
raw total energy = -3.577 eV per atom
symmetry = I4/mmm



Computed, not measured: Sm2BiPbO6 after structural relaxation at the PBE-GGA level of DFT.

Unit cell a=6.0643 b=6.0644 c=6.2910 alpha=61.19 beta=61.19 gamma=60.00
Last column: magnetic moment on the atom in μB.
Fractional positions:
O: 0.6329 0.2117 0.2486  0.02
O: 0.7049 0.1358 0.7550  0.04
O: 0.2117 0.9068 0.2486  0.02
O: 0.9067 0.6329 0.2486  0.02
O: 0.4044 0.7049 0.7550  0.04
O: 0.1358 0.4044 0.7550  0.04
Pb: 0.8067 0.8067 0.5800  0.06
Sm: 0.5263 0.5263 0.4212  0.00
Sm: 0.0230 0.0230 0.9311  0.00
Bi: 0.3093 0.3093 0.0722  0.00

## Properties
calculated density = 8.11 g cm⁻³
D(E_F) = 5.17 states/eV per cell
raw total energy = -6.864 eV per atom
symmetry = R3



Computed, not measured: Pu2BeAg after structural relaxation at the PBE-GGA level of DFT.

Unit cell a=3.0032 b=3.0032 c=8.8705 alpha=90.00 beta=90.00 gamma=90.00
Last column: magnetic moment on the atom in μB.
Fractional positions:
Be: 0.5000 0.5000 0.0000  -0.07
Ag: 0.5000 0.5000 0.5000  0.03
Pu: 0.0000 0.0000 0.7798  5.37
Pu: 0.0000 0.0000 0.2202  5.37

## Properties
calculated density = 12.55 g cm⁻³
D(E_F) = 9.62 states/eV per cell
raw total energy = -8.636 eV per atom
symmetry = P4/mmm
energy relative to the elements = 0.70 eV/f.u.